No. 1
Entry from Alexandria: Ca2As3Pb3ClO12 at its PBEsol-relaxed geometry (meta-GGA SCAN).

Volume in Å³ per cell: 639.5
ΔE_f (raw) in meV/atom: -1887
VASP energy in eV per atom: -20.46
Space group: P6_3/m, No. 176

Cell: 10.224 10.224 7.064 Å, 90.00 90.00 120.00°
Element x y z (fractional)
Ca 0.333 0.667 0.006
Ca 0.333 0.667 0.494
Ca 0.667 0.333 0.506
Ca 0.667 0.333 0.994
As 0.030 0.423 0.750
As 0.392 0.970 0.750
As 0.423 0.392 0.250
As 0.577 0.608 0.750
As 0.608 0.030 0.250
As 0.970 0.577 0.250
Pb 0.026 0.766 0.750
Pb 0.234 0.260 0.750
Pb 0.260 0.026 0.250
Pb 0.740 0.974 0.750
Pb 0.766 0.740 0.250
Pb 0.974 0.234 0.250
Cl 0.000 0.000 0.000
Cl 0.000 0.000 0.500
O 0.090 0.364 0.557
O 0.090 0.364 0.943
O 0.147 0.617 0.750
O 0.156 0.631 0.250
O 0.274 0.910 0.557
O 0.274 0.910 0.943
O 0.364 0.274 0.057
O 0.364 0.274 0.443
O 0.369 0.524 0.250
O 0.383 0.529 0.750
O 0.471 0.853 0.750
O 0.476 0.844 0.250
O 0.524 0.156 0.750
O 0.529 0.147 0.250
O 0.617 0.471 0.250
O 0.631 0.476 0.750
O 0.636 0.726 0.557
O 0.636 0.726 0.943
O 0.726 0.090 0.057
O 0.726 0.090 0.443
O 0.844 0.369 0.750
O 0.853 0.383 0.250
O 0.910 0.636 0.057
O 0.910 0.636 0.443

No. 2
Entry from Alexandria: CaAs2PCl at its PBEsol-relaxed geometry (meta-GGA SCAN).

Volume in Å³ per cell: 121.9
ΔE_f (raw) in meV/atom: -337
VASP energy in eV per atom: -14.02
Space group: P4/mmm, No. 123

Cell: 4.615 4.615 5.724 Å, 90.00 90.00 90.00°
Element x y z (fractional)
Ca 0.000 0.000 0.000
As 0.000 0.500 0.500
As 0.500 0.000 0.500
P 0.000 0.000 0.500
Cl 0.500 0.500 0.000

No. 3
Entry from Alexandria: CaCoAs2 at its PBEsol-relaxed geometry (meta-GGA SCAN).

Energy of formation in eV/atom: -0.17
Volume in Å³ per cell: 68.6
VASP energy in eV per atom: -17.01
Space group: I-4m2, No. 119

Cell: 5.281 5.281 5.281 Å, 136.62 136.62 63.02°
Element x y z (fractional)
Ca 0.000 0.000 0.000
Co 0.750 0.250 0.500
As 0.250 0.750 0.500
As 0.500 0.500 0.000

No. 4
Entry from Alexandria: Ca3Co3As4O16 at its PBEsol-relaxed geometry (meta-GGA SCAN).

Volume in Å³ per cell: 691.9
ΔE_f (raw) in meV/atom: -1896
VASP energy in eV per atom: -11.95
Space group: P2_1/c, No. 14

Cell: 8.978 5.080 16.909 Å, 90.00 116.20 90.00°
Element x y z (fractional)
Ca 0.000 0.000 0.000
Ca 0.000 0.500 0.500
Ca 0.305 0.035 0.269
Ca 0.305 0.465 0.769
Ca 0.695 0.535 0.231
Ca 0.695 0.965 0.731
Co 0.212 0.544 0.379
Co 0.212 0.956 0.879
Co 0.500 0.000 0.500
Co 0.500 0.500 0.000
Co 0.788 0.044 0.121
Co 0.788 0.456 0.621
As 0.041 0.523 0.156
As 0.041 0.977 0.656
As 0.438 0.522 0.597
As 0.438 0.978 0.097
As 0.562 0.022 0.903
As 0.562 0.478 0.403
As 0.959 0.023 0.344
As 0.959 0.477 0.844
O 0.026 0.638 0.643
O 0.026 0.862 0.143
O 0.105 0.135 0.589
O 0.105 0.365 0.089
O 0.146 0.591 0.851
O 0.146 0.909 0.351
O 0.195 0.038 0.762
O 0.195 0.462 0.262
O 0.255 0.559 0.505
O 0.255 0.941 0.005
O 0.413 0.215 0.917
O 0.413 0.285 0.417
O 0.432 0.635 0.689
O 0.432 0.865 0.189
O 0.478 0.712 0.895
O 0.478 0.788 0.395
O 0.522 0.212 0.605
O 0.522 0.288 0.105
O 0.568 0.135 0.811
O 0.568 0.365 0.311
O 0.587 0.715 0.583
O 0.587 0.785 0.083
O 0.745 0.059 0.995
O 0.745 0.441 0.495
O 0.805 0.538 0.738
O 0.805 0.962 0.238
O 0.854 0.091 0.649
O 0.854 0.409 0.149
O 0.895 0.635 0.911
O 0.895 0.865 0.411
O 0.974 0.138 0.857
O 0.974 0.362 0.357

No. 5
Entry from Alexandria: CaCoAsO5 at its PBEsol-relaxed geometry (meta-GGA SCAN).

Volume in Å³ per cell: 378.8
ΔE_f (raw) in meV/atom: -1931
VASP energy in eV per atom: -11.72
Space group: P2_12_12_1, No. 19

Cell: 5.766 7.541 8.710 Å, 90.00 90.00 90.00°
Element x y z (fractional)
Ca 0.029 0.144 0.165
Ca 0.471 0.856 0.665
Ca 0.529 0.356 0.835
Ca 0.971 0.644 0.335
Co 0.245 0.256 0.503
Co 0.255 0.744 0.003
Co 0.745 0.244 0.497
Co 0.755 0.756 0.997
As 0.016 0.613 0.696
As 0.484 0.387 0.196
As 0.516 0.887 0.304
As 0.984 0.113 0.804
O 0.001 0.136 0.433
O 0.013 0.930 0.923
O 0.082 0.782 0.573
O 0.242 0.401 0.312
O 0.245 0.138 0.710
O 0.255 0.862 0.210
O 0.258 0.599 0.812
O 0.418 0.218 0.073
O 0.487 0.070 0.423
O 0.499 0.864 0.933
O 0.501 0.364 0.567
O 0.513 0.570 0.077
O 0.582 0.718 0.427
O 0.742 0.099 0.688
O 0.745 0.362 0.290
O 0.755 0.638 0.790
O 0.758 0.901 0.188
O 0.918 0.282 0.927
O 0.987 0.430 0.577
O 0.999 0.636 0.067

No. 6
Entry from Alexandria: CaCoAs2Se at its PBEsol-relaxed geometry (meta-GGA SCAN).

Volume in Å³ per cell: 103.9
ΔE_f (raw) in meV/atom: -349
VASP energy in eV per atom: -17.83
Space group: P4/mmm, No. 123

Cell: 4.416 4.416 5.327 Å, 90.00 90.00 90.00°
Element x y z (fractional)
Ca 0.000 0.000 0.000
Co 0.500 0.500 0.500
As 0.000 0.500 0.500
As 0.500 0.000 0.500
Se 0.500 0.500 0.000

No. 7
Entry from Alexandria: CaCoAsSe2 at its PBEsol-relaxed geometry (meta-GGA SCAN).

Volume in Å³ per cell: 104.5
ΔE_f (raw) in meV/atom: -480
VASP energy in eV per atom: -17.94
Space group: P4/mmm, No. 123

Cell: 4.967 4.967 4.235 Å, 90.00 90.00 90.00°
Element x y z (fractional)
Ca 0.000 0.000 0.000
Co 0.500 0.500 0.500
As 0.500 0.500 0.000
Se 0.000 0.500 0.500
Se 0.500 0.000 0.500

No. 8
Entry from Alexandria: CaCrAs2 at its PBEsol-relaxed geometry (meta-GGA SCAN).

Energy of formation in eV/atom: 0.28
Energy relative to the lowest polymorph listed for this composition in meV/atom: 755
Volume in Å³ per cell: 77.7
VASP energy in eV per atom: -16.83
Space group: R3m, No. 160

Cell: 8.811 8.811 8.811 Å, 21.11 21.11 21.11°
Element x y z (fractional)
Ca 0.000 0.000 0.000
Cr 0.762 0.762 0.762
As 0.241 0.241 0.241
As 0.484 0.484 0.484

No. 9
Entry from Alexandria: CaCrAs3 at its PBEsol-relaxed geometry (meta-GGA SCAN).

Energy of formation in eV/atom: 0.95
Volume in Å³ per cell: 138.6
VASP energy in eV per atom: -16.78
Space group: Pm-3m, No. 221

Cell: 5.175 5.175 5.175 Å, 90.00 90.00 90.00°
Element x y z (fractional)
Ca 0.000 0.000 0.000
Cr 0.500 0.500 0.500
As 0.000 0.000 0.500
As 0.000 0.500 0.000
As 0.500 0.000 0.000

No. 10
Entry from Alexandria: CaCr2As at its PBEsol-relaxed geometry (meta-GGA SCAN).

Energy of formation in eV/atom: -0.13
Volume in Å³ per cell: 69.4
VASP energy in eV per atom: -16.79
Space group: F-43m, No. 216

Cell: 4.612 4.612 4.612 Å, 60.00 60.00 60.00°
Element x y z (fractional)
Ca 0.000 0.000 0.000
Cr 0.500 0.500 0.500
Cr 0.750 0.750 0.750
As 0.250 0.250 0.250

No. 11
Entry from Alexandria: CaCrAs2 at its PBEsol-relaxed geometry (meta-GGA SCAN).

Energy of formation in eV/atom: -0.44
Energy relative to the lowest polymorph listed for this composition in meV/atom: 39
Volume in Å³ per cell: 76.5
VASP energy in eV per atom: -17.54
Space group: P4/mmm, No. 123

Cell: 4.500 4.500 3.779 Å, 90.00 90.00 90.00°
Element x y z (fractional)
Ca 0.000 0.000 0.000
Cr 0.500 0.500 0.000
As 0.000 0.500 0.500
As 0.500 0.000 0.500

No. 12
Entry from Alexandria: CaCr2As at its PBEsol-relaxed geometry (meta-GGA SCAN).

Energy of formation in eV/atom: -0.24
Volume in Å³ per cell: 73.8
VASP energy in eV per atom: -16.90
Space group: Pm, No. 6

Cell: 3.149 3.914 6.074 Å, 90.00 99.86 90.00°
Element x y z (fractional)
Ca 0.000 0.000 0.000
Cr 0.350 0.000 0.483
Cr 0.805 0.500 0.422
As 0.414 0.500 0.746

No. 13
Entry from Alexandria: CaCrAs at its PBEsol-relaxed geometry (meta-GGA SCAN).

Energy of formation in eV/atom: -0.60
Volume in Å³ per cell: 68.7
VASP energy in eV per atom: -16.68
Space group: F-43m, No. 216

Cell: 4.597 4.597 4.597 Å, 60.00 60.00 60.00°
Element x y z (fractional)
Ca 0.000 0.000 0.000
Cr 0.500 0.500 0.500
As 0.750 0.750 0.750

No. 14
Entry from Alexandria: CaCrAs2 at its PBEsol-relaxed geometry (meta-GGA SCAN).

Energy of formation in eV/atom: -0.48
Energy relative to the lowest polymorph listed for this composition in meV/atom: 0
Volume in Å³ per cell: 79.7
VASP energy in eV per atom: -17.58
Space group: Cm, No. 8

Cell: 5.524 5.524 4.034 Å, 101.94 101.94 41.61°
Element x y z (fractional)
Ca 0.000 0.000 0.000
Cr 0.736 0.736 0.463
As 0.272 0.272 0.001
As 0.483 0.483 0.482

No. 15
Entry from Alexandria: CaCr2As at its PBEsol-relaxed geometry (meta-GGA SCAN).

Energy of formation in eV/atom: 0.25
Volume in Å³ per cell: 68.8
VASP energy in eV per atom: -16.41
Space group: C2/m, No. 12

Cell: 4.685 4.685 5.128 Å, 99.64 99.64 38.37°
Element x y z (fractional)
Ca 0.000 0.000 0.000
Cr 0.233 0.233 0.637
Cr 0.767 0.767 0.363
As 0.500 0.500 0.500

No. 16
Entry from Alexandria: CaCrAs2 at its PBEsol-relaxed geometry (meta-GGA SCAN).

Energy of formation in eV/atom: -0.42
Energy relative to the lowest polymorph listed for this composition in meV/atom: 52
Volume in Å³ per cell: 74.7
VASP energy in eV per atom: -17.53
Space group: Fm-3m, No. 225

Cell: 4.727 4.727 4.727 Å, 60.00 60.00 60.00°
Element x y z (fractional)
Ca 0.000 0.000 0.000
Cr 0.500 0.500 0.500
As 0.250 0.250 0.250
As 0.750 0.750 0.750

No. 17
Entry from Alexandria: Ca3Cr3As4O16 at its PBEsol-relaxed geometry (meta-GGA SCAN).

Volume in Å³ per cell: 705.2
ΔE_f (raw) in meV/atom: -2083
VASP energy in eV per atom: -12.26
Space group: P2_1/c, No. 14

Cell: 9.127 5.084 16.926 Å, 90.00 116.13 90.00°
Element x y z (fractional)
Ca 0.000 0.000 0.000
Ca 0.000 0.500 0.500
Ca 0.304 0.030 0.268
Ca 0.304 0.470 0.768
Ca 0.696 0.530 0.232
Ca 0.696 0.970 0.732
Cr 0.212 0.531 0.381
Cr 0.212 0.969 0.881
Cr 0.500 0.000 0.500
Cr 0.500 0.500 0.000
Cr 0.788 0.031 0.119
Cr 0.788 0.469 0.619
As 0.045 0.515 0.158
As 0.045 0.985 0.658
As 0.434 0.511 0.597
As 0.434 0.989 0.097
As 0.566 0.011 0.903
As 0.566 0.489 0.403
As 0.955 0.015 0.342
As 0.955 0.485 0.842
O 0.039 0.649 0.643
O 0.039 0.851 0.143
O 0.107 0.153 0.593
O 0.107 0.347 0.093
O 0.140 0.591 0.848
O 0.140 0.909 0.348
O 0.197 0.045 0.764
O 0.197 0.455 0.264
O 0.254 0.573 0.506
O 0.254 0.927 0.006
O 0.417 0.197 0.919
O 0.417 0.303 0.419
O 0.437 0.625 0.691
O 0.437 0.875 0.191
O 0.498 0.189 0.603
O 0.498 0.311 0.103
O 0.502 0.689 0.897
O 0.502 0.811 0.397
O 0.563 0.125 0.809
O 0.563 0.375 0.309
O 0.583 0.697 0.581
O 0.583 0.803 0.081
O 0.746 0.073 0.994
O 0.746 0.427 0.494
O 0.803 0.545 0.736
O 0.803 0.955 0.236
O 0.860 0.091 0.652
O 0.860 0.409 0.152
O 0.893 0.653 0.907
O 0.893 0.847 0.407
O 0.961 0.149 0.857
O 0.961 0.351 0.357

No. 18
Entry from Alexandria: Ca2CrAsPt at its PBEsol-relaxed geometry (meta-GGA SCAN).

Energy of formation in eV/atom: -0.25
Volume in Å³ per cell: 140.2
VASP energy in eV per atom: -25.87
Space group: P4/mmm, No. 123

Cell: 5.526 5.526 4.590 Å, 90.00 90.00 90.00°
Element x y z (fractional)
Ca 0.000 0.500 0.000
Ca 0.500 0.000 0.000
Cr 0.000 0.000 0.500
As 0.500 0.500 0.500
Pt 0.500 0.500 0.000

No. 19
Entry from Alexandria: CaCrAsSe2 at its PBEsol-relaxed geometry (meta-GGA SCAN).

Volume in Å³ per cell: 111.4
ΔE_f (raw) in meV/atom: -657
VASP energy in eV per atom: -18.34
Space group: P4/mmm, No. 123

Cell: 4.957 4.957 4.533 Å, 90.00 90.00 90.00°
Element x y z (fractional)
Ca 0.000 0.000 0.000
Cr 0.500 0.500 0.500
As 0.500 0.500 0.000
Se 0.000 0.500 0.500
Se 0.500 0.000 0.500

No. 20
Entry from Alexandria: Cs2CaAs at its PBEsol-relaxed geometry (meta-GGA SCAN).

Energy of formation in eV/atom: 0.12
Volume in Å³ per cell: 158.8
VASP energy in eV per atom: -26.25
Space group: Fm-3m, No. 225

Cell: 6.078 6.078 6.078 Å, 60.00 60.00 60.00°
Element x y z (fractional)
Cs 0.250 0.250 0.250
Cs 0.750 0.750 0.750
Ca 0.000 0.000 0.000
As 0.500 0.500 0.500